A geometry-optimized Cd3InHg3 structure, computed with PBE.

```
14
Lattice="8.0052 0.0000 0.0000 0.0000 8.0052 0.0000 0.0000 0.0000 8.0052" Properties=species:S:1:pos:R:3 pbc="T T T"
Hg 0.0000 4.0026 2.0013
Cd 2.0013 4.0026 0.0000
Hg 0.0000 4.0026 6.0039
Cd 0.0000 2.0013 4.0026
Cd 4.0026 0.0000 2.0013
Cd 0.0000 6.0039 4.0026
Hg 4.0026 6.0039 0.0000
In 4.0026 4.0026 4.0026
Cd 4.0026 0.0000 6.0039
Hg 6.0039 0.0000 4.0026
In 0.0000 0.0000 0.0000
Hg 2.0013 0.0000 4.0026
Cd 6.0039 4.0026 0.0000
Hg 4.0026 2.0013 0.0000
```

Summary:
Symmetry: No. 223
Energy of formation in meV/atom: 298
VASP energy in eV/f.u.: -4.300